Entry 1:
## Ta2TiAl (PBE)

Data for an optimized crystal structure of Ta2TiAl.

Lattice parameters (Å, degrees): 3.4070 3.4070 5.9056 90.00 90.00 90.00
Fractional positions:
Ta 0.0000 0.0000 0.2470
Ta 0.0000 0.0000 0.7530
Ti 0.5000 0.5000 0.5000
Al 0.5000 0.5000 0.0000

Computed properties:
formation enthalpy at 0 K = -0.06 eV/atom
space-group type = No. 123
density of states at the Fermi level = 4.6 states/eV/f.u.

=====

Entry 2:
## TlCu2PdI6 (PBE)

Data for an optimized crystal structure of TlCu2PdI6.

Lattice parameters (Å, degrees): 10.0852 10.0852 8.1901 106.89 106.89 76.41
Fractional positions:
Tl 0.0512 0.9488 0.7500
Tl 0.9488 0.0512 0.2500
Cu 0.1905 0.3857 0.8362
Cu 0.3857 0.1905 0.3362
Cu 0.6143 0.8095 0.6638
Cu 0.8095 0.6143 0.1638
Pd 0.1925 0.8075 0.2500
Pd 0.8075 0.1925 0.7500
I 0.0431 0.6875 0.3707
I 0.0907 0.6684 0.9227
I 0.3125 0.9569 0.1293
I 0.3319 0.3724 0.6058
I 0.3316 0.9093 0.5773
I 0.3724 0.3319 0.1058
I 0.6276 0.6681 0.8942
I 0.6684 0.0907 0.4227
I 0.6681 0.6276 0.3942
I 0.6875 0.0431 0.8707
I 0.9093 0.3316 0.0773
I 0.9569 0.3125 0.6293

Computed properties:
raw formation energy = -0.21 eV per atom
space-group type = No. 15
density of states at the Fermi level = 9.9 states/eV/f.u.

=====

Entry 3:
## NaHo6S8 (PBE)

Data for an optimized crystal structure of NaHo6S8.

Lattice parameters (Å, degrees): 7.7226 7.7226 7.7226 96.58 96.58 96.58
Fractional positions:
Na 0.0000 0.0000 0.0000
Ho 0.1893 0.3730 0.5533
Ho 0.3730 0.5533 0.1893
Ho 0.4467 0.8107 0.6270
Ho 0.5533 0.1893 0.3730
Ho 0.6270 0.4467 0.8107
Ho 0.8107 0.6270 0.4467
S 0.1484 0.6777 0.4035
S 0.2300 0.2300 0.2300
S 0.3223 0.5965 0.8516
S 0.4035 0.1484 0.6777
S 0.5965 0.8516 0.3223
S 0.6777 0.4035 0.1484
S 0.7700 0.7700 0.7700
S 0.8516 0.3223 0.5965

Computed properties:
raw formation energy = -1.78 eV per atom
space-group type = No. 148
density of states at the Fermi level = 8.7 states/eV/f.u.